## Rb2GaGeH2 (PBE)

Data for a relaxed structure of Rb2GaGeH2.

Values from the calculation:
Space group = No. 36
Total energy = -2.7506 eV/atom
N(E_F) = 0.370 states/eV/atom

abc: 7.182 7.904 6.851
angles: 125.23 90.00 90.00
Fractional positions:
H 0.252 0.454 0.226
H 0.752 0.546 0.774
H 0.252 0.229 0.774
H 0.752 0.771 0.226
Rb 0.644 0.517 0.369
Rb 0.644 0.148 0.631
Rb 0.144 0.483 0.631
Rb 0.144 0.852 0.369
Ge 0.931 0.051 0.000
Ge 0.431 0.949 0.000
Ga 0.748 0.796 0.000
Ga 0.248 0.204 0.000